No. 1
Pb3AuF | PBE | optimized geometry

formation energy without anion corrections = 0.03 eV/atom
crystal system = cubic

Cell: 5.592 5.592 5.592 Å, 90.00 90.00 90.00°
Sites, in units of the cell vectors:
Pb (0.000, 0.000, 0.500)
Pb (0.000, 0.500, 0.000)
Pb (0.500, 0.000, 0.000)
Au (0.000, 0.000, 0.000)
F (0.500, 0.500, 0.500)

No. 2
BaCaP2 | PBE | optimized geometry

DFT formation energy = -617 meV per atom
crystal system = orthorhombic

Cell: 7.163 7.163 7.163 Å, 148.44 144.37 48.33°
Sites, in units of the cell vectors:
Ba (0.000, 0.000, 0.000)
Ca (0.250, 0.750, 0.500)
P (0.602, 0.602, 0.000)
P (0.757, 0.257, 0.500)

no.,density of states at the Fermi level (states/eV/atom),final energy (eV/atom),theoretical density (g cm⁻³)
1,0.83,-3.226,8.0
2,0.53,-4.303,3.6